No. 1
! Ca7DyIn4, relaxed, DFT PBE; values from VASP
! ρ   3.78 g/cm³
! DOS(E_F)   7.53 states/eV per cell
! Total magnetization   0.0488 μB per atom
! E_tot   -2.61 eV per atom
&SYSTEM
  ibrav = 0, nat = 12, ntyp = 3
/
ATOMIC_SPECIES
Ca 40.08 Ca.upf
In 114.82 In.upf
Dy 162.50 Dy.upf
CELL_PARAMETERS angstrom
-4.857 0.270 -3.092
-4.133 -8.812 0.349
-6.281 1.543 4.628
ATOMIC_POSITIONS crystal
Ca 0.073 0.632 0.223
Ca 0.927 0.368 0.777
Ca 0.220 0.122 0.438
Ca 0.324 0.618 0.733
Ca 0.500 0.000 0.000
Ca 0.676 0.382 0.267
Ca 0.780 0.878 0.562
In 0.440 0.779 0.340
In 0.315 0.327 0.042
In 0.685 0.673 0.958
In 0.560 0.221 0.660
Dy 0.000 0.000 0.000

=====

No. 2
! GeIrSe2N, relaxed, DFT PBE; values from VASP
! ρ   7.38 g/cm³
! DOS(E_F)   3.00 states/eV per cell
! Excess energy over the best structure of this formula in the dataset   0 meV/atom
! E_form (uncorrected)   8.5 kcal/mol of atoms
! Total magnetization   0.0000 μB per atom
&SYSTEM
  ibrav = 0, nat = 5, ntyp = 4
/
ATOMIC_SPECIES
N 14.01 N.upf
Ge 72.64 Ge.upf
Se 78.96 Se.upf
Ir 192.22 Ir.upf
CELL_PARAMETERS angstrom
-1.850 0.273 -4.826
-0.997 -5.078 0.095
-3.351 0.683 1.323
ATOMIC_POSITIONS crystal
N 0.000 0.000 0.500
Ge 0.500 0.500 0.500
Se 0.000 0.500 0.000
Se 0.500 0.000 0.000
Ir 0.000 0.000 0.000